Entry 1:
A relaxed structure of KCd6Bi4, computed with PBE-GGA.

Structure (POSCAR):
```
KCd6Bi4
1.0
5.1691 0.0000 -0.7539
-0.1100 5.1680 -0.7539
-0.6104 -0.6235 13.9133
Bi Cd K
4 6 1
direct
0.5666 0.5666 0.1332
0.1910 0.1910 0.3821
0.8090 0.8090 0.6179
0.4334 0.4334 0.8668
0.3752 0.8752 0.7504
0.8752 0.3752 0.7504
0.2500 0.7500 0.5000
0.6248 0.1248 0.2496
0.7500 0.2500 0.5000
0.1248 0.6248 0.2496
0.0000 0.0000 0.0000
```

E_tot = -22.6 eV for the cell shown
theoretical density = 7.0 Mg/m³
DOS(E_F) = 0.267 states/eV per atom



Entry 2:
A relaxed structure of AcDyThZr, computed with PBE-GGA.

Structure (POSCAR):
```
AcDyThZr
1.0
-4.2369 -3.6972 0.2101
-1.2592 -3.0966 -4.5266
1.0811 -5.5223 -0.0207
Ac Dy Th Zr
1 1 1 1
direct
0.0000 0.0000 0.0000
0.7500 0.7500 0.7500
0.5000 0.5000 0.5000
0.2500 0.2500 0.2500
```

E_tot = -23.8 eV for the cell shown
theoretical density = 9.4 Mg/m³
DOS(E_F) = 1.055 states/eV per atom



Entry 3:
A relaxed structure of PrZr2ScN4, computed with PBE-GGA.

Structure (POSCAR):
```
PrZr2ScN4
1.0
-2.8621 -3.0479 -5.2532
-3.5263 -3.8917 4.1830
-0.3385 6.6397 0.5699
Sc Zr N Pr
2 4 8 2
direct
0.0000 0.0000 0.0000
0.5000 0.5000 0.5000
0.0000 0.0000 0.5000
0.5000 0.5000 0.0000
0.5000 0.0000 0.0000
0.5000 0.0000 0.5000
0.2751 0.7726 0.0238
0.2613 0.2386 0.9988
0.2726 0.7751 0.5238
0.2614 0.2387 0.5012
0.7274 0.2249 0.4762
0.7386 0.7613 0.4988
0.7387 0.7614 0.0012
0.7250 0.2274 0.9762
0.0000 0.5000 0.5000
0.0000 0.5000 0.0000
```

E_tot = -148.5 eV for the cell shown
theoretical density = 6.6 Mg/m³
DOS(E_F) = 0.360 states/eV per atom



Entry 4:
A relaxed structure of Hg2Pt, computed with PBE-GGA.

Structure (POSCAR):
```
Hg2Pt
1.0
7.6642 3.9538 10.3297
6.6927 7.7953 8.6900
-8.9160 -5.7793 -8.2572
Pt Hg
2 4
direct
0.0000 0.0000 0.0000
0.7500 0.2500 0.5000
0.1747 0.6747 0.5000
0.5753 0.5753 0.0000
0.3253 0.8253 0.5000
0.4247 0.4247 0.0000
```

distance to the lowest polymorph of the same formula = 0.1555 eV per atom
E_tot = -12.8 eV for the cell shown
theoretical density = 16.2 Mg/m³
DOS(E_F) = 0.330 states/eV per atom



Entry 5:
A relaxed structure of Ca2NdAg2, computed with PBE-GGA.

Structure (POSCAR):
```
Ca2NdAg2
1.0
-3.7029 -2.4242 -1.8004
-1.0705 -2.3442 5.3581
-5.8250 10.1897 -1.7400
Ca Ag Nd
4 4 2
direct
0.2500 0.7686 0.8775
0.7500 0.7033 0.4574
0.7500 0.2314 0.1225
0.2500 0.2967 0.5426
0.2500 0.3440 0.9718
0.2500 0.8773 0.6419
0.7500 0.6560 0.0282
0.7500 0.1227 0.3581
0.2500 0.8055 0.2124
0.7500 0.1945 0.7876
```

distance to the lowest polymorph of the same formula = 0.0290 eV per atom
E_tot = -30.6 eV for the cell shown
theoretical density = 4.7 Mg/m³
DOS(E_F) = 0.858 states/eV per atom



Entry 6:
A relaxed structure of LaTlSeBr2, computed with PBE-GGA.

Structure (POSCAR):
```
LaTlSeBr2
1.0
-0.6486 -1.9175 -5.2713
3.7745 -4.0745 1.0177
-4.0853 -3.3543 1.7228
Br La Tl Se
2 1 1 1
direct
0.0000 0.5000 0.0000
0.5000 0.0000 0.0000
0.5000 0.5000 0.5000
0.0000 0.0000 0.0000
0.0000 0.0000 0.5000
```

distance to the lowest polymorph of the same formula = 0.9024 eV per atom
E_tot = -16.5 eV for the cell shown
theoretical density = 5.5 Mg/m³
DOS(E_F) = 1.223 states/eV per atom



Entry 7:
A relaxed structure of SrTh4Hg5, computed with PBE-GGA.

Structure (POSCAR):
```
SrTh4Hg5
1.0
3.8347 0.0000 0.0000
0.0000 3.8347 0.0000
0.0000 0.0000 19.5844
Th Hg Sr
4 5 1
direct
0.0000 0.0000 0.4029
0.0000 0.0000 0.7938
0.0000 0.0000 0.2062
0.0000 0.0000 0.5971
0.5000 0.5000 0.3051
0.5000 0.5000 0.1099
0.5000 0.5000 0.8901
0.5000 0.5000 0.5000
0.5000 0.5000 0.6949
0.0000 0.0000 0.0000
```

E_tot = -35.4 eV for the cell shown
theoretical density = 11.6 Mg/m³
DOS(E_F) = 0.836 states/eV per atom



Entry 8:
A relaxed structure of HgH6BrN2, computed with PBE-GGA.

Structure (POSCAR):
```
HgH6BrN2
1.0
-4.9338 -1.3570 -4.5166
1.1994 -6.5678 -1.4173
-3.7204 -1.6632 4.5659
H N Hg Br
12 4 2 2
direct
0.4545 0.8136 0.1139
0.5455 0.1864 0.8861
0.0181 0.4880 0.7501
0.9819 0.5120 0.2499
0.8135 0.4547 0.8860
0.8136 0.4545 0.6139
0.4880 0.0181 0.2501
0.5120 0.9819 0.7499
0.1865 0.5453 0.1140
0.5453 0.1865 0.6140
0.4547 0.8135 0.3860
0.1864 0.5455 0.3861
0.9001 0.4156 0.7500
0.5844 0.0999 0.7500
0.0999 0.5844 0.2500
0.4156 0.9001 0.2500
0.9628 0.0372 0.7500
0.0372 0.9628 0.2500
0.6731 0.3269 0.2500
0.3269 0.6731 0.7500
```

E_tot = -84.0 eV for the cell shown
theoretical density = 3.7 Mg/m³
DOS(E_F) = 0.246 states/eV per atom



Entry 9:
A relaxed structure of Mn4PtRh7, computed with PBE-GGA.

Structure (POSCAR):
```
Mn4PtRh7
1.0
4.7481 -0.4365 2.4956
1.2607 6.7589 1.7214
2.6474 0.4157 6.6712
Mn Rh Pt
4 7 1
direct
0.5192 0.6706 0.3178
0.2393 0.3297 0.1849
0.4808 0.3294 0.6822
0.7607 0.6703 0.8151
0.5000 0.0000 0.0000
0.2602 0.6592 0.8243
0.2479 0.9954 0.5024
0.7521 0.0046 0.4976
0.7398 0.3408 0.1757
0.0147 0.6598 0.3259
0.9853 0.3402 0.6741
0.0000 0.0000 0.0000
```

E_tot = -95.3 eV for the cell shown
theoretical density = 11.2 Mg/m³
DOS(E_F) = 1.212 states/eV per atom



Entry 10:
A relaxed structure of PmCO4, computed with PBE-GGA.

Structure (POSCAR):
```
PmCO4
1.0
6.5512 0.5518 0.0000
-1.2557 6.8927 0.0000
0.0000 0.0000 6.6596
O Pm C
16 4 4
direct
0.3043 0.8300 0.6816
0.9981 0.1125 0.6816
0.8043 0.3300 0.8184
0.6029 0.0001 0.9500
0.8971 0.4999 0.4500
0.4048 0.2368 0.4678
0.0952 0.2632 0.9678
0.5019 0.3875 0.1816
0.4981 0.6125 0.8184
0.1029 0.5001 0.5500
0.1957 0.6700 0.1816
0.3971 0.9999 0.0500
0.6957 0.1700 0.3184
0.0019 0.8875 0.3184
0.5952 0.7632 0.5322
0.9048 0.7368 0.0322
0.4463 0.2514 0.8282
0.9463 0.7514 0.6718
0.0537 0.2486 0.3282
0.5537 0.7486 0.1718
0.4599 0.7367 0.6776
0.5401 0.2633 0.3224
0.9599 0.2367 0.8224
0.0401 0.7633 0.1776
```

distance to the lowest polymorph of the same formula = 0.0000 eV per atom
E_tot = -185.7 eV for the cell shown
theoretical density = 4.8 Mg/m³
DOS(E_F) = 0.000 states/eV per atom



Entry 11:
A relaxed structure of LaTbRe4, computed with PBE-GGA.

Structure (POSCAR):
```
LaTbRe4
1.0
5.4929 0.0000 0.0000
2.7465 4.7570 0.0000
2.7465 1.5857 4.4850
Tb Re La
1 4 1
direct
0.0000 0.0000 0.0000
0.6251 0.1247 0.6251
0.1247 0.6251 0.6251
0.6251 0.6251 0.6251
0.6251 0.6251 0.1247
0.2500 0.2500 0.2500
```

E_tot = -59.2 eV for the cell shown
theoretical density = 14.8 Mg/m³
DOS(E_F) = 1.466 states/eV per atom



Entry 12:
A relaxed structure of DyLuNiRu, computed with PBE-GGA.

Structure (POSCAR):
```
DyLuNiRu
1.0
4.7437 0.0000 0.0000
2.3719 4.1082 0.0000
2.3719 1.3694 3.8732
Lu Dy Ni Ru
1 1 1 1
direct
0.0000 0.0000 0.0000
0.5000 0.5000 0.5000
0.2500 0.2500 0.2500
0.7500 0.7500 0.7500
```

E_tot = -26.0 eV for the cell shown
theoretical density = 10.9 Mg/m³
DOS(E_F) = 0.566 states/eV per atom